SbOs2Br: optimized geometry, PBE.

Properties
Relative energy among the computed polymorphs, eV/f.u.: 3.14
VASP energy, eV/cell: -93.7
E_form (uncorrected), eV/f.u.: 4.84

```
data_SbOs2Br
_chemical_formula_sum 'Sb4 Os8 Br4'
_symmetry_space_group_name_H-M 'F m -3 m'
_symmetry_Int_Tables_number 225
_symmetry_space_group_name_Hall '-F 4 2 3'
_cell_length_a 6.510
_cell_length_b 6.510
_cell_length_c 6.510
_cell_angle_alpha 90.00
_cell_angle_beta 90.00
_cell_angle_gamma 90.00
loop_
_atom_site_label
_atom_site_fract_x
_atom_site_fract_y
_atom_site_fract_z
Sb1 0.000 0.000 0.000
Os1 0.250 0.250 0.250
Br1 0.000 0.000 0.500
```

Rb3TlCl6: optimized geometry, PBE.

Properties
VASP energy, eV/cell: -186.9
E_form (uncorrected), eV/f.u.: -14.80

```
data_Rb3TlCl6
_chemical_formula_sum 'Rb18 Tl6 Cl36'
_symmetry_space_group_name_H-M 'R -3'
_symmetry_Int_Tables_number 148
_symmetry_space_group_name_Hall '-R 3'
_cell_length_a 13.1193
_cell_length_b 13.1193
_cell_length_c 15.4837
_cell_angle_alpha 90.00
_cell_angle_beta 90.00
_cell_angle_gamma 120.00
loop_
_atom_site_label
_atom_site_fract_x
_atom_site_fract_y
_atom_site_fract_z
Rb1 0.0465 0.2712 0.2023
Tl1 0.0000 0.0000 0.0000
Tl2 0.0000 0.0000 0.5000
Cl1 0.0209 0.1777 0.4047
Cl2 0.0307 0.1776 0.9005
```